# Li2TlIn

A PBEsol-optimized structure of Li2TlIn (meta-GGA SCAN, the Alexandria database).

Properties
* E_form: -1.03 eV per formula unit
* density of states at the Fermi level: 0.3070 states/eV per atom

Cell: 3.648 3.648 6.157 Å, 90.00 90.00 90.00°
Fractional positions:
1 Tl 0.000 0.000 0.472
2 In 0.500 0.500 0.775
3 Li 0.000 0.000 0.997
4 Li 0.500 0.500 0.255